# 1
The following is a DFT calculation (PBE-GGA) of a relaxed structure of NdHoTiN3.

Cell: 3.550 7.228 7.746 Å, 98.59 90.00 90.00°
Positions (direct):
1 Ti 0.750 0.896 0.402
2 Ti 0.250 0.104 0.598
3 N 0.750 0.885 0.151
4 Ho 0.750 0.367 0.845
5 N 0.750 0.172 0.518
6 N 0.750 0.407 0.139
7 Ho 0.250 0.633 0.155
8 N 0.250 0.828 0.482
9 N 0.250 0.593 0.861
10 N 0.250 0.115 0.849
11 Nd 0.750 0.829 0.828
12 Nd 0.250 0.171 0.172

---

# 2
The following is a DFT calculation (PBE-GGA) of a relaxed structure of Nd2HoTlN.

Cell: 4.795 5.049 5.049 Å, 90.00 90.00 90.00°
Positions (direct):
1 Nd 0.000 0.500 0.000
2 Tl 0.500 0.500 0.500
3 N 0.000 0.000 0.000
4 Ho 0.500 0.000 0.000
5 Nd 0.000 0.000 0.500

---

Raw total energy values (in eV per atom) by entry order: -8.356; -5.809.
M_tot values (in μB/f.u.) by entry order: 0.0; 0.0.